(P)
DFT (PBE) results for LaPm2Cd2 after structural relaxation.

Structure (POSCAR):
```
LaPm2Cd2
1.0
-2.552 2.552 12.635
2.552 -2.552 12.635
2.552 2.552 -12.635
La Pm Cd
2 4 4
Direct
0.130 0.130 0.000
0.870 0.870 0.000
0.000 0.500 0.500
0.317 0.317 0.000
0.500 0.000 0.500
0.683 0.683 0.000
0.250 0.750 0.500
0.430 0.430 0.000
0.570 0.570 0.000
0.750 0.250 0.500
```

## Properties
Volume   32.93 A^3/atom

(Q)
DFT (PBE) results for LaPm2Cd2 after structural relaxation.

Structure (POSCAR):
```
LaPm2Cd2
1.0
1.931 -14.097 0.000
1.931 14.097 0.000
0.000 0.000 5.568
La Pm Cd
2 4 4
Direct
0.147 0.853 0.750
0.853 0.147 0.250
0.047 0.953 0.250
0.237 0.763 0.250
0.763 0.237 0.750
0.953 0.047 0.750
0.358 0.642 0.750
0.453 0.547 0.250
0.547 0.453 0.750
0.642 0.358 0.250
```

## Properties
Volume   30.30 A^3/atom

How far above the most stable structure does each one sit? In kJ/mol of atoms: (P) 19.5; (Q) 0.0.

(P)
DFT (PBE) results for La3Pm6Cd after structural relaxation.

Structure (POSCAR):
```
La3Pm6Cd
1.0
10.959 0.000 0.000
0.000 5.299 0.000
-0.965 0.000 11.657
La Pm Cd
6 12 2
Direct
0.053 0.250 0.407
0.159 0.750 0.212
0.257 0.250 0.018
0.743 0.750 0.982
0.841 0.250 0.788
0.947 0.750 0.593
0.050 0.750 0.901
0.162 0.250 0.707
0.280 0.750 0.513
0.344 0.750 0.827
0.375 0.250 0.323
0.460 0.750 0.121
0.540 0.250 0.879
0.625 0.750 0.677
0.656 0.250 0.173
0.720 0.250 0.487
0.838 0.750 0.293
0.950 0.250 0.099
0.442 0.250 0.608
0.558 0.750 0.392
```

## Properties
Volume   33.85 A^3/atom

(Q)
DFT (PBE) results for La3Pm6Cd after structural relaxation.

Structure (POSCAR):
```
La3Pm6Cd
1.0
6.666 -7.976 0.000
6.666 7.976 0.000
0.000 0.000 6.521
La Pm Cd
6 12 2
Direct
0.145 0.855 0.500
0.214 0.390 0.157
0.390 0.214 0.657
0.610 0.786 0.157
0.786 0.610 0.657
0.855 0.145 0.000
0.066 0.174 0.497
0.093 0.483 0.692
0.174 0.066 0.997
0.250 0.750 0.006
0.453 0.547 0.833
0.483 0.093 0.192
0.517 0.907 0.692
0.547 0.453 0.333
0.750 0.250 0.506
0.826 0.934 0.497
0.907 0.517 0.192
0.934 0.826 0.997
0.345 0.655 0.436
0.655 0.345 0.936
```

## Properties
Volume   34.68 A^3/atom

How far above the most stable structure does each one sit? In kJ/mol of atoms: (P) 0.0; (Q) 8.0.